A geometry-optimized Ac3TeP2 structure, computed with PBE-GGA. Values from VASP.

The structure in Quantum ESPRESSO input format:
```
&SYSTEM
  ibrav = 0, nat = 12, ntyp = 3
/
ATOMIC_SPECIES
Ac 227.00 Ac.upf
Te 127.60 Te.upf
P 30.97 P.upf
CELL_PARAMETERS angstrom
2.456 -7.434 0.000
2.456 7.434 0.000
0.000 0.000 11.298
ATOMIC_POSITIONS crystal
Ac 0.089 0.911 0.750
Ac 0.376 0.624 0.555
Ac 0.376 0.624 0.945
Ac 0.624 0.376 0.055
Ac 0.624 0.376 0.445
Ac 0.911 0.089 0.250
Te 0.239 0.761 0.250
Te 0.761 0.239 0.750
P 0.000 0.000 0.000
P 0.000 0.000 0.500
P 0.495 0.505 0.750
P 0.505 0.495 0.250
```

Results
Formation energy (no corrections): -1180 meV per atom
DOS(E_F): 1.898 states/eV/f.u.

***

A geometry-optimized Ac6Te5P structure, computed with PBE-GGA. Values from VASP.

The structure in Quantum ESPRESSO input format:
```
&SYSTEM
  ibrav = 0, nat = 12, ntyp = 3
/
ATOMIC_SPECIES
Ac 227.00 Ac.upf
Te 127.60 Te.upf
P 30.97 P.upf
CELL_PARAMETERS angstrom
4.064 -7.034 0.000
4.064 7.034 0.000
-2.697 0.000 7.651
ATOMIC_POSITIONS crystal
Ac 0.076 0.385 0.731
Ac 0.228 0.228 0.262
Ac 0.385 0.076 0.731
Ac 0.615 0.924 0.269
Ac 0.772 0.772 0.738
Ac 0.924 0.615 0.269
Te 0.175 0.825 0.000
Te 0.335 0.665 0.500
Te 0.500 0.500 0.000
Te 0.665 0.335 0.500
Te 0.825 0.175 0.000
P 0.000 0.000 0.500
```

Results
Formation energy (no corrections): -1523 meV per atom
DOS(E_F): 6.525 states/eV/f.u.

***

- Among the records above, which one has the highest DOS(E_F)?
  Ac6Te5P

***

- The highest DOS(E_F) belongs to which entry?
  Ac6Te5P

***

What did the first record say?
A geometry-optimized Ac3TeP2 structure, computed with PBE-GGA. Values from VASP.

The structure in Quantum ESPRESSO input format:
```
&SYSTEM
  ibrav = 0, nat = 12, ntyp = 3
/
ATOMIC_SPECIES
Ac 227.00 Ac.upf
Te 127.60 Te.upf
P 30.97 P.upf
CELL_PARAMETERS angstrom
2.456 -7.434 0.000
2.456 7.434 0.000
0.000 0.000 11.298
ATOMIC_POSITIONS crystal
Ac 0.089 0.911 0.750
Ac 0.376 0.624 0.555
Ac 0.376 0.624 0.945
Ac 0.624 0.376 0.055
Ac 0.624 0.376 0.445
Ac 0.911 0.089 0.250
Te 0.239 0.761 0.250
Te 0.761 0.239 0.750
P 0.000 0.000 0.000
P 0.000 0.000 0.500
P 0.495 0.505 0.750
P 0.505 0.495 0.250
```

Results
Formation energy (no corrections): -1180 meV per atom
DOS(E_F): 1.898 states/eV/f.u.

***

- Among the records above, which one has the highest formation energy (no corrections)?
  Ac3TeP2